This record from Alexandria describes IrSe3O after structural relaxation. The functional is GGA-PBE.

* volume: 16.86 A^3/atom
* magnetic moment: 0.00 μB/cell
* energy above the most stable polymorph in this dataset: 0 meV/atom
* theoretical density: 8769 kg/m3
* space group: Pm-3m, No. 221
* formation energy (no corrections): 0.935 eV per atom

a b c (Å): 4.3845 4.3845 4.3845
angles (deg): 90.00 90.00 90.00
Positions (direct):
Ir1 0.0000 0.0000 0.0000
Se1 0.0000 0.5000 0.5000
Se2 0.5000 0.0000 0.5000
Se3 0.5000 0.5000 0.0000
O1 0.5000 0.5000 0.5000